First-principles (PBE) data for CeSmCCl after structural relaxation, as listed in the Alexandria database.

Geometry as POSCAR:
```
CeSmCCl
1.0
-0.0726 2.9626 2.1812
-3.1415 -1.3960 -1.3121
0.5773 -5.7838 4.7711
Ce Sm C Cl
1 1 1 1
Direct
0.0928 0.9443 0.0524
0.5062 0.1511 0.6725
0.3058 0.5508 0.8719
0.9731 0.3846 0.3729
```

DOS(E_F): 4.03 states/eV/f.u.
raw formation energy: -1.003 eV/atom
space group: R3m (160)
magnetic moment: 0.53 μB per cell



First-principles (PBE) data for Dy5HoTm3 after structural relaxation, as listed in the Alexandria database.

Geometry as POSCAR:
```
Dy5HoTm3
1.0
-1.8813 -4.8952 7.4854
9.5099 4.0403 -0.5474
-4.7189 5.0007 2.0843
Dy Ho Tm
10 2 6
Direct
0.3021 0.0000 0.7500
0.5163 0.6732 0.8385
0.8433 0.3267 0.1650
0.4837 0.3268 0.1615
0.5166 0.6733 0.3350
0.6979 0.0000 0.2500
0.1568 0.6732 0.3385
0.8432 0.3268 0.6615
0.4834 0.3267 0.6650
0.1567 0.6733 0.8350
0.6688 0.0000 0.7500
0.3312 0.0000 0.2500
0.0000 0.0000 0.0000
0.8162 0.6348 0.5674
0.0000 0.0000 0.5000
0.1838 0.3652 0.4326
0.8187 0.6348 0.0674
0.1813 0.3652 0.9326
```

DOS(E_F): 11.64 states/eV/f.u.
space group: Imma (74)
energy of formation: 1.229 eV per formula unit
E above lowest polymorph: 0.00 eV per formula unit
magnetic moment: 0.00 μB per cell



First-principles (PBE) data for NaTiO3 after structural relaxation, as listed in the Alexandria database.

Geometry as POSCAR:
```
NaTiO3
1.0
-2.1020 -0.2618 -2.2197
4.5674 -1.3646 -4.1642
-3.8238 -3.0915 3.9856
Na O Ti
1 3 1
Direct
0.5000 0.1098 0.8902
0.5000 0.1988 0.3132
0.5000 0.6868 0.8012
0.0000 0.2443 0.7557
0.0000 0.3884 0.6116
```

DOS(E_F): 0.72 states/eV/f.u.
raw formation energy: -2.085 eV/atom
space group: Amm2 (38)
magnetic moment: 0.00 μB per cell



First-principles (PBE) data for LiAg2Sb2 after structural relaxation, as listed in the Alexandria database.

Geometry as POSCAR:
```
LiAg2Sb2
1.0
-0.5127 -6.2580 5.3178
8.2115 -0.4625 0.2474
0.0457 2.1960 2.5887
Sb Ag Li
4 4 2
Direct
0.1746 0.6746 0.5000
0.6746 0.8254 0.5000
0.8254 0.3254 0.5000
0.3254 0.1746 0.5000
0.3745 0.8745 0.0000
0.8745 0.6255 0.0000
0.6255 0.1255 0.0000
0.1255 0.3745 0.0000
0.0000 0.0000 0.0000
0.5000 0.5000 0.0000
```

DOS(E_F): 1.69 states/eV/f.u.
raw formation energy: -0.018 eV/atom
space group: P4/mbm (127)
E above lowest polymorph: 0.45 eV per formula unit
magnetic moment: 0.00 μB per cell



First-principles (PBE) data for CePmFe4 after structural relaxation, as listed in the Alexandria database.

Geometry as POSCAR:
```
CePmFe4
1.0
-4.6034 -0.5338 2.3217
-3.9598 -2.1523 -2.5601
-1.6969 -4.7113 1.3383
Fe Ce Pm
4 1 1
Direct
0.6256 0.6256 0.1231
0.6256 0.1231 0.6256
0.6256 0.6256 0.6256
0.1231 0.6256 0.6256
0.0000 0.0000 0.0000
0.2500 0.2500 0.2500
```

DOS(E_F): 7.34 states/eV/f.u.
space group: F-43m (216)
energy of formation: -0.017 eV per formula unit
magnetic moment: 6.79 μB per cell



First-principles (PBE) data for Pa2Fe9W after structural relaxation, as listed in the Alexandria database.

Geometry as POSCAR:
```
Pa2Fe9W
1.0
4.7445 0.0000 0.0000
2.3722 4.1088 0.0000
2.3722 1.3696 8.2469
Pa Fe W
2 9 1
Direct
0.8588 0.8588 0.4236
0.1412 0.1412 0.5764
0.6662 0.6662 0.0015
0.3338 0.3338 0.9985
0.5000 0.5000 0.5000
0.4214 0.4214 0.2335
0.9237 0.4214 0.2335
0.4214 0.9237 0.2335
0.5786 0.5786 0.7665
0.5786 0.0763 0.7665
0.0763 0.5786 0.7665
0.0000 0.0000 0.0000
```

DOS(E_F): 14.29 states/eV/f.u.
space group: R-3m (166)
energy of formation: 0.451 eV per formula unit
magnetic moment: 8.64 μB per cell